[1]
First-principles (GGA-PBE) data for a relaxed structure of MnMoRu2, as listed in Alexandria via LeMat-Bulk.

Geometry as extended XYZ:
```
4
Lattice="2.746 0.000 0.000 0.000 3.737 0.000 0.000 0.000 5.466" Properties=species:S:1:pos:R:3 pbc="T T T"
Mn 0.000 0.000 0.000
Mo 0.000 0.000 2.733
Ru 1.373 1.868 1.298
Ru 1.373 1.868 4.167
```

- Density of states at the Fermi level: 5.27 states/eV per cell
- Calculated formation energy: 90 meV/atom
- Space group: Pmmm (47)
- Total magnetization: 1.90 μB/cell
- Energy: -0.702 Ry per atom



[2]
First-principles (GGA-PBE) data for a relaxed structure of MnMoRu, as listed in Alexandria via LeMat-Bulk.

Geometry as extended XYZ:
```
12
Lattice="3.163 0.000 0.000 0.000 4.330 0.000 0.000 0.000 12.430" Properties=species:S:1:pos:R:3 pbc="T T T"
Mn 0.000 0.000 0.000
Mn 0.000 2.165 6.215
Mn 1.582 0.000 6.215
Mn 1.582 2.165 0.000
Mo 0.000 0.000 4.168
Mo 0.000 2.165 10.383
Mo 1.582 0.000 10.383
Mo 1.582 2.165 4.168
Ru 0.000 0.000 8.223
Ru 0.000 2.165 2.008
Ru 1.582 0.000 2.008
Ru 1.582 2.165 8.223
```

- Density of states at the Fermi level: 16.01 states/eV per cell
- Calculated formation energy: 211 meV/atom
- Space group: Fmm2 (42)
- Total magnetization: 10.46 μB/cell
- Energy: -0.702 Ry per atom



[3]
First-principles (GGA-PBE) data for a relaxed structure of MnSbMoRu, as listed in Alexandria via LeMat-Bulk.

Geometry as extended XYZ:
```
16
Lattice="6.295 0.000 0.000 0.000 6.295 0.000 0.000 0.000 6.295" Properties=species:S:1:pos:R:3 pbc="T T T"
Mn 0.000 0.000 0.000
Mn 0.000 3.147 3.147
Mn 3.147 0.000 3.147
Mn 3.147 3.147 0.000
Sb 0.000 0.000 3.147
Sb 0.000 3.147 0.000
Sb 3.147 0.000 0.000
Sb 3.147 3.147 3.147
Mo 1.574 1.574 4.721
Mo 1.574 4.721 1.574
Mo 4.721 1.574 1.574
Mo 4.721 4.721 4.721
Ru 1.574 1.574 1.574
Ru 1.574 4.721 4.721
Ru 4.721 1.574 4.721
Ru 4.721 4.721 1.574
```

- Density of states at the Fermi level: 8.57 states/eV per cell
- Formation energy without anion corrections: 2 kJ per mole of atoms
- Space group: F-43m (216)
- Total magnetization: 8.43 μB/cell
- Energy: -0.612 Ry per atom



[4]
First-principles (GGA-PBE) data for a relaxed structure of MnSi2MoRu, as listed in Alexandria via LeMat-Bulk.

Geometry as extended XYZ:
```
5
Lattice="4.597 0.000 0.000 0.000 4.597 0.000 0.000 0.000 4.588" Properties=species:S:1:pos:R:3 pbc="T T T"
Mn 0.000 0.000 0.000
Si 0.000 2.298 2.294
Si 2.298 0.000 2.294
Mo 0.000 0.000 2.294
Ru 2.298 2.298 0.000
```

- Density of states at the Fermi level: 3.44 states/eV per cell
- Formation energy without anion corrections: 121 kJ per mole of atoms
- Space group: P4/mmm (123)
- Total magnetization: 1.70 μB/cell
- Energy: -0.497 Ry per atom



[5]
First-principles (GGA-PBE) data for a relaxed structure of MnSnMoRu, as listed in Alexandria via LeMat-Bulk.

Geometry as extended XYZ:
```
16
Lattice="6.309 0.000 0.000 0.000 6.309 0.000 0.000 0.000 6.309" Properties=species:S:1:pos:R:3 pbc="T T T"
Mn 0.000 0.000 0.000
Mn 0.000 3.155 3.155
Mn 3.155 0.000 3.155
Mn 3.155 3.155 0.000
Sn 0.000 0.000 3.155
Sn 0.000 3.155 0.000
Sn 3.155 0.000 0.000
Sn 3.155 3.155 3.155
Mo 1.577 1.577 1.577
Mo 1.577 4.732 4.732
Mo 4.732 1.577 4.732
Mo 4.732 4.732 1.577
Ru 1.577 1.577 4.732
Ru 1.577 4.732 1.577
Ru 4.732 1.577 1.577
Ru 4.732 4.732 4.732
```

- Density of states at the Fermi level: 13.55 states/eV per cell
- Calculated formation energy: 76 meV/atom
- Space group: F-43m (216)
- Total magnetization: 8.48 μB/cell
- Energy: -0.606 Ry per atom



[6]
First-principles (GGA-PBE) data for a relaxed structure of TaMnMoRu, as listed in Alexandria via LeMat-Bulk.

Geometry as extended XYZ:
```
16
Lattice="6.234 0.000 0.000 0.000 6.234 0.000 0.000 0.000 6.234" Properties=species:S:1:pos:R:3 pbc="T T T"
Ta 0.000 0.000 0.000
Ta 0.000 3.117 3.117
Ta 3.117 0.000 3.117
Ta 3.117 3.117 0.000
Mn 0.000 0.000 3.117
Mn 0.000 3.117 0.000
Mn 3.117 0.000 0.000
Mn 3.117 3.117 3.117
Mo 1.558 1.558 1.558
Mo 1.558 4.675 4.675
Mo 4.675 1.558 4.675
Mo 4.675 4.675 1.558
Ru 1.558 1.558 4.675
Ru 1.558 4.675 1.558
Ru 4.675 1.558 1.558
Ru 4.675 4.675 4.675
```

- Density of states at the Fermi level: 7.75 states/eV per cell
- Calculated formation energy: -98 meV/atom
- Space group: F-43m (216)
- Total magnetization: 9.29 μB/cell
- Energy: -0.763 Ry per atom